[1]
# AlCdPd2Rh

A geometry-optimized AlCdPd2Rh structure (PBE, the Alexandria database).

Summary:
Energy of formation in meV/atom: 866
E in eV for the cell shown: -18.1

Cell lengths 4.872, 4.872, 5.015 Å; angles 90.00, 90.00, 90.00 degrees
Fractional positions:
Al 0.000 0.000 0.000
Cd 0.500 0.500 0.000
Pd 0.000 0.500 0.500
Pd 0.500 0.000 0.500
Rh 0.500 0.500 0.500

---

[2]
# ScAlCdPd

A geometry-optimized ScAlCdPd structure (PBE, the Alexandria database).

Summary:
Energy of formation in meV/atom: -545
E in eV for the cell shown: -73.5

Cell lengths 6.587, 6.587, 6.587 Å; angles 90.00, 90.00, 90.00 degrees
Fractional positions:
Sc 0.000 0.000 0.000
Sc 0.000 0.500 0.500
Sc 0.500 0.000 0.500
Sc 0.500 0.500 0.000
Al 0.000 0.000 0.500
Al 0.000 0.500 0.000
Al 0.500 0.000 0.000
Al 0.500 0.500 0.500
Cd 0.250 0.250 0.750
Cd 0.250 0.750 0.250
Cd 0.750 0.250 0.250
Cd 0.750 0.750 0.750
Pd 0.250 0.250 0.250
Pd 0.250 0.750 0.750
Pd 0.750 0.250 0.750
Pd 0.750 0.750 0.250

---

[3]
# Sc2AlCdPd4

A geometry-optimized Sc2AlCdPd4 structure (PBE, the Alexandria database).

Summary:
Energy of formation in meV/atom: -838
E in eV for the cell shown: -44.8

Cell lengths 7.963, 7.963, 7.963 Å; angles 33.32, 33.32, 33.32 degrees
Fractional positions:
Sc 0.249 0.249 0.249
Sc 0.751 0.751 0.751
Al 0.000 0.000 0.000
Cd 0.500 0.500 0.500
Pd 0.118 0.118 0.118
Pd 0.370 0.370 0.370
Pd 0.630 0.630 0.630
Pd 0.882 0.882 0.882

---

[4]
# Sc2Al2CdPd5

A geometry-optimized Sc2Al2CdPd5 structure (PBE, the Alexandria database).

Summary:
Energy of formation in meV/atom: -705
E in eV for the cell shown: -108.2

Cell lengths 9.638, 9.638, 3.708 Å; angles 90.00, 90.00, 90.00 degrees
Fractional positions:
Sc 0.176 0.324 0.000
Sc 0.324 0.824 0.000
Sc 0.676 0.176 0.000
Sc 0.824 0.676 0.000
Al 0.122 0.622 0.000
Al 0.378 0.122 0.000
Al 0.622 0.878 0.000
Al 0.878 0.378 0.000
Cd 0.000 0.000 0.000
Cd 0.500 0.500 0.000
Pd 0.000 0.500 0.500
Pd 0.071 0.790 0.500
Pd 0.210 0.071 0.500
Pd 0.290 0.571 0.500
Pd 0.429 0.290 0.500
Pd 0.500 0.000 0.500
Pd 0.571 0.710 0.500
Pd 0.710 0.429 0.500
Pd 0.790 0.929 0.500
Pd 0.929 0.210 0.500

---

[5]
# Sm2Al3CdPd4

A geometry-optimized Sm2Al3CdPd4 structure (PBE, the Alexandria database).

Summary:
Energy of formation in meV/atom: -758
E in eV for the cell shown: -49.9

Cell lengths 4.312, 4.312, 10.667 Å; angles 90.00, 90.00, 90.00 degrees
Fractional positions:
Sm 0.000 0.500 0.242
Sm 0.500 0.000 0.758
Al 0.000 0.500 0.880
Al 0.500 0.000 0.120
Al 0.500 0.500 0.500
Cd 0.000 0.000 0.500
Pd 0.000 0.000 0.000
Pd 0.000 0.500 0.651
Pd 0.500 0.000 0.349
Pd 0.500 0.500 0.000

---

[6]
# Al2Cd2SnPd5

A geometry-optimized Al2Cd2SnPd5 structure (PBE, the Alexandria database).

Summary:
Energy of formation in meV/atom: -511
E in eV for the cell shown: -88.8

Cell lengths 9.875, 9.875, 3.557 Å; angles 90.00, 90.00, 90.00 degrees
Fractional positions:
Al 0.128 0.372 0.000
Al 0.372 0.872 0.000
Al 0.628 0.128 0.000
Al 0.872 0.628 0.000
Cd 0.168 0.668 0.000
Cd 0.332 0.168 0.000
Cd 0.668 0.832 0.000
Cd 0.832 0.332 0.000
Sn 0.000 0.000 0.000
Sn 0.500 0.500 0.000
Pd 0.000 0.500 0.500
Pd 0.091 0.195 0.500
Pd 0.195 0.909 0.500
Pd 0.305 0.409 0.500
Pd 0.409 0.695 0.500
Pd 0.500 0.000 0.500
Pd 0.591 0.305 0.500
Pd 0.695 0.591 0.500
Pd 0.805 0.091 0.500
Pd 0.909 0.805 0.500

---

[7]
# SrAlCd2Pd4

A geometry-optimized SrAlCd2Pd4 structure (PBE, the Alexandria database).

Summary:
Energy of formation in meV/atom: -538
E in eV for the cell shown: -32.3

Cell lengths 9.132, 9.132, 9.132 Å; angles 29.16, 29.16, 29.16 degrees
Fractional positions:
Sr 0.000 0.000 0.000
Al 0.500 0.500 0.500
Cd 0.241 0.241 0.241
Cd 0.759 0.759 0.759
Pd 0.134 0.134 0.134
Pd 0.407 0.407 0.407
Pd 0.593 0.593 0.593
Pd 0.866 0.866 0.866

---

[8]
# Sr2AlCdPd

A geometry-optimized Sr2AlCdPd structure (PBE, the Alexandria database).

Summary:
Energy of formation in meV/atom: -331
E in eV for the cell shown: -14.9

Cell lengths 5.916, 5.916, 4.779 Å; angles 90.00, 90.00, 90.00 degrees
Fractional positions:
Sr 0.000 0.500 0.000
Sr 0.500 0.000 0.000
Al 0.000 0.000 0.500
Cd 0.500 0.500 0.500
Pd 0.000 0.000 0.000

---

[9]
# Sr2Al2CdPd5

A geometry-optimized Sr2Al2CdPd5 structure (PBE, the Alexandria database).

Summary:
Energy of formation in meV/atom: -635
E in eV for the cell shown: -88.1

Cell lengths 10.718, 10.718, 3.437 Å; angles 90.00, 90.00, 90.00 degrees
Fractional positions:
Sr 0.177 0.323 0.000
Sr 0.323 0.823 0.000
Sr 0.677 0.177 0.000
Sr 0.823 0.677 0.000
Al 0.122 0.622 0.000
Al 0.378 0.122 0.000
Al 0.622 0.878 0.000
Al 0.878 0.378 0.000
Cd 0.000 0.000 0.000
Cd 0.500 0.500 0.000
Pd 0.000 0.500 0.500
Pd 0.063 0.788 0.500
Pd 0.212 0.063 0.500
Pd 0.288 0.563 0.500
Pd 0.437 0.288 0.500
Pd 0.500 0.000 0.500
Pd 0.563 0.712 0.500
Pd 0.712 0.437 0.500
Pd 0.788 0.937 0.500
Pd 0.937 0.212 0.500

---

[10]
# Sr2Al12CdPd3

A geometry-optimized Sr2Al12CdPd3 structure (PBE, the Alexandria database).

Summary:
Energy of formation in meV/atom: -13
E in eV for the cell shown: -65.0

Cell lengths 8.101, 8.101, 8.101 Å; angles 68.96, 68.96, 68.96 degrees
Fractional positions:
Sr 0.100 0.100 0.100
Sr 0.900 0.900 0.900
Al 0.135 0.634 0.634
Al 0.251 0.251 0.628
Al 0.251 0.628 0.251
Al 0.366 0.366 0.865
Al 0.366 0.865 0.366
Al 0.372 0.749 0.749
Al 0.628 0.251 0.251
Al 0.634 0.135 0.634
Al 0.634 0.634 0.135
Al 0.749 0.372 0.749
Al 0.749 0.749 0.372
Al 0.865 0.366 0.366
Cd 0.500 0.500 0.500
Pd 0.000 0.500 0.500
Pd 0.500 0.000 0.500
Pd 0.500 0.500 0.000

---

[11]
# Tb2Al4CdPd3

A geometry-optimized Tb2Al4CdPd3 structure (PBE, the Alexandria database).

Summary:
Energy of formation in meV/atom: -712
E in eV for the cell shown: -47.8

Cell lengths 4.220, 4.220, 10.914 Å; angles 90.00, 90.00, 90.00 degrees
Fractional positions:
Tb 0.000 0.500 0.238
Tb 0.500 0.000 0.762
Al 0.000 0.000 0.000
Al 0.000 0.500 0.646
Al 0.500 0.000 0.354
Al 0.500 0.500 0.000
Cd 0.000 0.000 0.500
Pd 0.000 0.500 0.870
Pd 0.500 0.000 0.130
Pd 0.500 0.500 0.500

---

[12]
# TbAlCdPd

A geometry-optimized TbAlCdPd structure (PBE, the Alexandria database).

Summary:
Energy of formation in meV/atom: -524
E in eV for the cell shown: -66.3

Cell lengths 6.833, 6.833, 6.833 Å; angles 90.00, 90.00, 90.00 degrees
Fractional positions:
Tb 0.000 0.000 0.000
Tb 0.000 0.500 0.500
Tb 0.500 0.000 0.500
Tb 0.500 0.500 0.000
Al 0.000 0.000 0.500
Al 0.000 0.500 0.000
Al 0.500 0.000 0.000
Al 0.500 0.500 0.500
Cd 0.250 0.250 0.250
Cd 0.250 0.750 0.750
Cd 0.750 0.250 0.750
Cd 0.750 0.750 0.250
Pd 0.250 0.250 0.750
Pd 0.250 0.750 0.250
Pd 0.750 0.250 0.250
Pd 0.750 0.750 0.750

---

[13]
# AlCd2TcPd

A geometry-optimized AlCd2TcPd structure (PBE, the Alexandria database).

Summary:
Energy of formation in meV/atom: 775
E in eV for the cell shown: -17.3

Cell lengths 5.070, 5.070, 4.631 Å; angles 90.00, 90.00, 90.00 degrees
Fractional positions:
Al 0.000 0.000 0.000
Cd 0.000 0.500 0.500
Cd 0.500 0.000 0.500
Tc 0.500 0.500 0.000
Pd 0.000 0.000 0.500

---

[14]
# Th2Al4CdPd3

A geometry-optimized Th2Al4CdPd3 structure (PBE, the Alexandria database).

Summary:
Energy of formation in meV/atom: -698
E in eV for the cell shown: -53.3

Cell lengths 4.336, 4.336, 10.633 Å; angles 90.00, 90.00, 90.00 degrees
Fractional positions:
Th 0.000 0.500 0.243
Th 0.500 0.000 0.757
Al 0.000 0.000 0.000
Al 0.000 0.500 0.643
Al 0.500 0.000 0.357
Al 0.500 0.500 0.000
Cd 0.000 0.000 0.500
Pd 0.000 0.500 0.874
Pd 0.500 0.000 0.126
Pd 0.500 0.500 0.500

---

[15]
# TiAl2CdPd

A geometry-optimized TiAl2CdPd structure (PBE, the Alexandria database).

Summary:
Energy of formation in meV/atom: 141
E in eV for the cell shown: -20.8

Cell lengths 4.688, 4.688, 4.985 Å; angles 90.00, 90.00, 90.00 degrees
Fractional positions:
Ti 0.000 0.000 0.000
Al 0.000 0.500 0.500
Al 0.500 0.000 0.500
Cd 0.500 0.500 0.000
Pd 0.000 0.000 0.500

---

[16]
# YAl2CdPd

A geometry-optimized YAl2CdPd structure (PBE, the Alexandria database).

Summary:
Energy of formation in meV/atom: -220
E in eV for the cell shown: -21.2

Cell lengths 4.732, 4.732, 5.082 Å; angles 90.00, 90.00, 90.00 degrees
Fractional positions:
Y 0.000 0.000 0.000
Al 0.000 0.500 0.500
Al 0.500 0.000 0.500
Cd 0.500 0.500 0.000
Pd 0.500 0.500 0.500

---

[17]
# YAlCdPd

A geometry-optimized YAlCdPd structure (PBE, the Alexandria database).

Summary:
Energy of formation in meV/atom: -528
E in eV for the cell shown: -73.7

Cell lengths 6.824, 6.824, 6.824 Å; angles 90.00, 90.00, 90.00 degrees
Fractional positions:
Y 0.000 0.000 0.000
Y 0.000 0.500 0.500
Y 0.500 0.000 0.500
Y 0.500 0.500 0.000
Al 0.000 0.000 0.500
Al 0.000 0.500 0.000
Al 0.500 0.000 0.000
Al 0.500 0.500 0.500
Cd 0.250 0.250 0.250
Cd 0.250 0.750 0.750
Cd 0.750 0.250 0.750
Cd 0.750 0.750 0.250
Pd 0.250 0.250 0.750
Pd 0.250 0.750 0.250
Pd 0.750 0.250 0.250
Pd 0.750 0.750 0.750

---

[18]
# AlZn2Cd2Pd5

A geometry-optimized AlZn2Cd2Pd5 structure (PBE, the Alexandria database).

Summary:
Energy of formation in meV/atom: -442
E in eV for the cell shown: -77.0

Cell lengths 9.507, 9.507, 3.642 Å; angles 90.00, 90.00, 90.00 degrees
Fractional positions:
Al 0.000 0.000 0.000
Al 0.500 0.500 0.000
Zn 0.129 0.371 0.000
Zn 0.371 0.871 0.000
Zn 0.629 0.129 0.000
Zn 0.871 0.629 0.000
Cd 0.169 0.669 0.000
Cd 0.331 0.169 0.000
Cd 0.669 0.831 0.000
Cd 0.831 0.331 0.000
Pd 0.000 0.500 0.500
Pd 0.082 0.188 0.500
Pd 0.188 0.918 0.500
Pd 0.312 0.418 0.500
Pd 0.418 0.688 0.500
Pd 0.500 0.000 0.500
Pd 0.582 0.312 0.500
Pd 0.688 0.582 0.500
Pd 0.812 0.082 0.500
Pd 0.918 0.812 0.500

---

[19]
# Al2ZnCd2Pd5

A geometry-optimized Al2ZnCd2Pd5 structure (PBE, the Alexandria database).

Summary:
Energy of formation in meV/atom: -508
E in eV for the cell shown: -83.3

Cell lengths 9.625, 9.625, 3.553 Å; angles 90.00, 90.00, 90.00 degrees
Fractional positions:
Al 0.130 0.370 0.000
Al 0.370 0.870 0.000
Al 0.630 0.130 0.000
Al 0.870 0.630 0.000
Zn 0.000 0.000 0.000
Zn 0.500 0.500 0.000
Cd 0.171 0.671 0.000
Cd 0.329 0.171 0.000
Cd 0.671 0.829 0.000
Cd 0.829 0.329 0.000
Pd 0.000 0.500 0.500
Pd 0.076 0.196 0.500
Pd 0.196 0.924 0.500
Pd 0.304 0.424 0.500
Pd 0.424 0.696 0.500
Pd 0.500 0.000 0.500
Pd 0.576 0.304 0.500
Pd 0.696 0.576 0.500
Pd 0.804 0.076 0.500
Pd 0.924 0.804 0.500

---

[20]
# ZrAlCdPd

A geometry-optimized ZrAlCdPd structure (PBE, the Alexandria database).

Summary:
Energy of formation in meV/atom: -392
E in eV for the cell shown: -79.9

Cell lengths 6.639, 6.639, 6.639 Å; angles 90.00, 90.00, 90.00 degrees
Fractional positions:
Zr 0.000 0.000 0.000
Zr 0.000 0.500 0.500
Zr 0.500 0.000 0.500
Zr 0.500 0.500 0.000
Al 0.000 0.000 0.500
Al 0.000 0.500 0.000
Al 0.500 0.000 0.000
Al 0.500 0.500 0.500
Cd 0.250 0.250 0.750
Cd 0.250 0.750 0.250
Cd 0.750 0.250 0.250
Cd 0.750 0.750 0.750
Pd 0.250 0.250 0.250
Pd 0.250 0.750 0.750
Pd 0.750 0.250 0.750
Pd 0.750 0.750 0.250

---

[21]
# Pm12AlCd6

A geometry-optimized Pm12AlCd6 structure (PBE, the Alexandria database).

Summary:
Energy of formation in meV/atom: -129
E in eV for the cell shown: -68.7

Cell lengths 8.215, 8.215, 8.215 Å; angles 88.30, 88.30, 88.30 degrees
Fractional positions:
Pm 0.029 0.948 0.306
Pm 0.052 0.694 0.971
Pm 0.130 0.478 0.352
Pm 0.306 0.029 0.948
Pm 0.352 0.130 0.478
Pm 0.478 0.352 0.130
Pm 0.522 0.648 0.870
Pm 0.648 0.870 0.522
Pm 0.694 0.971 0.052
Pm 0.870 0.522 0.648
Pm 0.948 0.306 0.029
Pm 0.971 0.052 0.694
Al 0.500 0.500 0.500
Cd 0.241 0.391 0.758
Cd 0.242 0.759 0.609
Cd 0.391 0.758 0.241
Cd 0.609 0.242 0.759
Cd 0.758 0.241 0.391
Cd 0.759 0.609 0.242

---

[22]
# Pm6AlCd

A geometry-optimized Pm6AlCd structure (PBE, the Alexandria database).

Summary:
Energy of formation in meV/atom: 130
E in eV for the cell shown: -64.2

Cell lengths 7.256, 12.076, 6.881 Å; angles 90.00, 117.73, 90.00 degrees
Fractional positions:
Pm 0.221 0.204 0.251
Pm 0.221 0.796 0.251
Pm 0.238 0.000 0.750
Pm 0.262 0.500 0.250
Pm 0.279 0.296 0.749
Pm 0.279 0.704 0.749
Pm 0.721 0.296 0.251
Pm 0.721 0.704 0.251
Pm 0.738 0.500 0.750
Pm 0.762 0.000 0.250
Pm 0.779 0.204 0.749
Pm 0.779 0.796 0.749
Al 0.000 0.000 0.000
Al 0.500 0.500 0.000
Cd 0.000 0.500 0.500
Cd 0.500 0.000 0.500